# 1
The following is a PBE calculation of a relaxed KAg2IBr2 crystal, from Alexandria via LeMat-Bulk.

Summary:
- total energy (eV per atom) = -2.712
- formation energy without anion corrections (kJ/mol of atoms) = -73.6
- theoretical density (g/cm3) = 4.234

Lattice parameters (Å, degrees): 5.905 7.409 10.432 111.44 90.00 90.00
Element x y z (fractional)
K  0.750  0.325  0.578
Br  0.250  0.087  0.371
Ag  0.000  0.109  0.153
Br  0.250  0.560  0.700
Br  0.750  0.440  0.300
Br  0.750  0.913  0.629
Ag  0.500  0.891  0.847
Ag  0.500  0.109  0.153
I  0.250  0.250  0.966
Ag  0.000  0.891  0.847
K  0.250  0.675  0.422
I  0.750  0.750  0.034

---

# 2
The following is a PBE calculation of a relaxed Na4Np3CdS8 crystal, from Alexandria via LeMat-Bulk.

Summary:
- total energy (eV per atom) = -6.112
- formation energy without anion corrections (kJ/mol of atoms) = -119.2
- theoretical density (g/cm3) = 5.285

Lattice parameters (Å, degrees): 7.985 8.107 7.987 119.54 119.99 90.00
Last column: magnetic moment on the atom in μB.
Element x y z (fractional)
Np  0.500  0.500  0.000  3.71
S  0.258  0.275  0.517  -0.09
Np  0.000  0.500  0.500  3.71
Na  0.500  0.000  0.500  0.00
S  0.261  0.272  0.017  -0.07
S  0.739  0.728  0.983  -0.07
Na  0.000  0.000  0.000  0.00
Np  0.500  0.500  0.500  3.71
S  0.742  0.725  0.483  -0.09
S  0.245  0.728  0.490  -0.07
S  0.245  0.728  0.983  -0.07
Na  0.000  0.000  0.500  0.00
Cd  0.000  0.500  0.000  0.00
S  0.755  0.272  0.510  -0.07
S  0.755  0.272  0.017  -0.07
Na  0.500  0.000  0.000  0.00

---

# 3
The following is a PBE calculation of a relaxed Pd2RuO2 crystal, from Alexandria via LeMat-Bulk.

Summary:
- total energy (eV per atom) = -5.374
- formation energy without anion corrections (kJ/mol of atoms) = 52.2
- polymorph energy (0 for the lowest one) (meV/atom) = 0
- theoretical density (g/cm3) = 8.968

Lattice parameters (Å, degrees): 3.450 3.450 5.909 73.03 73.03 90.00
Last column: magnetic moment on the atom in μB.
Element x y z (fractional)
O  0.750  0.250  0.500  -0.12
O  0.250  0.750  0.500  -0.12
Ru  0.000  0.000  0.000  1.99
Pd  0.372  0.372  0.257  0.01
Pd  0.628  0.628  0.743  0.01

---

# 4
The following is a PBE calculation of a relaxed ZnRuCl2 crystal, from Alexandria via LeMat-Bulk.

Summary:
- total energy (eV per atom) = -3.211
- formation energy without anion corrections (kJ/mol of atoms) = 33.8
- polymorph energy (0 for the lowest one) (meV/atom) = 623
- theoretical density (g/cm3) = 5.589

Lattice parameters (Å, degrees): 5.105 5.105 3.429 69.07 69.07 104.12
Last column: magnetic moment on the atom in μB.
Element x y z (fractional)
Cl  0.000  0.000  0.000  0.02
Cl  0.500  0.500  0.000  0.02
Ru  0.500  0.000  0.500  0.82
Zn  0.000  0.500  0.500  -0.02

---

# 5
The following is a PBE calculation of a relaxed GdZnCdIr crystal, from Alexandria via LeMat-Bulk.

Summary:
- total energy (eV per atom) = -6.545
- formation energy (eV per atom) = -0.26
- theoretical density (g/cm3) = 11.109

Lattice parameters (Å, degrees): 4.813 4.813 4.813 60.00 60.00 60.00
Last column: magnetic moment on the atom in μB.
Element x y z (fractional)
Cd  0.250  0.250  0.250  0.01
Zn  0.000  0.000  0.000  0.02
Gd  0.750  0.750  0.750  7.03
Ir  0.500  0.500  0.500  0.03

---

# 6
The following is a PBE calculation of a relaxed La2Y5Er crystal, from Alexandria via LeMat-Bulk.

Summary:
- total energy (eV per atom) = -5.694
- polymorph energy (0 for the lowest one) (meV/atom) = 15
- formation energy (eV per atom) = 0.15
- theoretical density (g/cm3) = 5.551

Lattice parameters (Å, degrees): 9.958 6.729 10.793 119.70 117.47 90.00
Element x y z (fractional)
Y  0.891  0.637  0.604
Y  0.069  0.250  0.000
Y  0.287  0.863  0.396
La  0.173  0.461  0.845
Y  0.713  0.137  0.604
La  0.827  0.539  0.155
Er  0.500  0.500  0.500
Y  0.931  0.750  0.000
Er  0.000  0.000  0.500
Y  0.479  0.452  0.794
Y  0.521  0.548  0.206
Y  0.685  0.048  0.206
La  0.328  0.039  0.155
Y  0.315  0.952  0.794
La  0.672  0.961  0.845
Y  0.109  0.363  0.396

---

# 7
The following is a PBE calculation of a relaxed Sr2Tl2Cl crystal, from Alexandria via LeMat-Bulk.

Summary:
- total energy (eV per atom) = -2.782
- formation energy without anion corrections (kJ/mol of atoms) = -76.6
- theoretical density (g/cm3) = 5.749

Lattice parameters (Å, degrees): 8.146 8.146 5.392 90.00 90.00 90.00
Element x y z (fractional)
Tl  0.131  0.631  0.500
Sr  0.175  0.325  0.000
Sr  0.675  0.175  0.000
Sr  0.325  0.825  0.000
Cl  0.500  0.500  0.000
Sr  0.825  0.675  0.000
Tl  0.369  0.131  0.500
Tl  0.631  0.869  0.500
Tl  0.869  0.369  0.500
Cl  0.000  0.000  0.000

---

# 8
The following is a PBE calculation of a relaxed Rb3CdHg7 crystal, from Alexandria via LeMat-Bulk.

Summary:
- total energy (eV per atom) = -0.717
- formation energy (eV per atom) = -0.18
- theoretical density (g/cm3) = 7.080

Lattice parameters (Å, degrees): 12.130 12.130 15.106 90.00 90.00 158.03
Element x y z (fractional)
Hg  0.418  0.582  0.250
Hg  0.378  0.622  0.846
Rb  0.759  0.241  0.750
Rb  0.241  0.759  0.250
Cd  0.040  0.960  0.250
Hg  0.271  0.729  0.553
Hg  0.622  0.378  0.154
Hg  0.503  0.497  0.398
Hg  0.582  0.418  0.750
Hg  0.729  0.271  0.447
Hg  0.503  0.497  0.102
Rb  0.891  0.109  0.043
Hg  0.497  0.503  0.602
Hg  0.497  0.503  0.898
Rb  0.109  0.891  0.957
Rb  0.109  0.891  0.543
Rb  0.891  0.109  0.457
Hg  0.378  0.622  0.654
Hg  0.271  0.729  0.947
Cd  0.960  0.040  0.750
Hg  0.729  0.271  0.053
Hg  0.622  0.378  0.346